# 1
This record from Alexandria via LeMat-Bulk describes a PBEsol-optimized structure of ZrSi2SI. The functional is meta-GGA SCAN.

Calculated values
Energy relative to the elements, uncorrected ... 0.865 eV/atom

a b c (Å): 4.451 4.451 5.287
angles (deg): 90.00 90.00 90.00
Space group P4/mmm (No. 123)
Symmetry-distinct sites (fractional):
Zr 0.000 0.000 0.000
Si 0.000 0.500 0.500
S 0.500 0.500 0.500
I 0.500 0.500 0.000

***

# 2
This record from Alexandria via LeMat-Bulk describes a PBEsol-optimized structure of LiAgTe2. The functional is meta-GGA SCAN.

Calculated values
Energy relative to the elements, uncorrected ... -0.397 eV/atom

a b c (Å): 4.387 3.069 15.063
angles (deg): 90.00 90.00 90.00
Space group Amm2 (No. 38)
Symmetry-distinct sites (fractional):
Li 0.000 0.000 0.000
Ag 0.500 0.000 0.753
Te 0.000 0.000 0.329
Te 0.500 0.000 0.570

***

# 3
This record from Alexandria via LeMat-Bulk describes a PBEsol-optimized structure of La3Re2. The functional is meta-GGA SCAN.

Calculated values
E above lowest polymorph ... 0 meV per atom
Formation enthalpy at 0 K ... 205 kJ/mol of formula units

a b c (Å): 3.382 3.382 21.651
angles (deg): 90.00 90.00 90.00
Space group I4/mmm (No. 139)
Symmetry-distinct sites (fractional):
La 0.000 0.000 0.000
La 0.000 0.000 0.171
Re 0.000 0.000 0.409

***

# 4
This record from Alexandria via LeMat-Bulk describes a PBEsol-optimized structure of LaReAu. The functional is meta-GGA SCAN.

Calculated values
Formation enthalpy at 0 K ... 177 kJ/mol of formula units

a b c (Å): 2.8978 2.8978 7.8938
angles (deg): 90.00 90.00 120.00
Space group P3m1 (No. 156)
Symmetry-distinct sites (fractional):
La 0.0000 0.0000 0.0000
Re 0.3333 0.6667 0.6506
Au 0.6667 0.3333 0.3617

***

# 5
This record from Alexandria via LeMat-Bulk describes a PBEsol-optimized structure of LiCaIn3. The functional is meta-GGA SCAN.

Calculated values
Formation enthalpy at 0 K ... -102 kJ/mol of formula units

a b c (Å): 4.973 4.973 4.973
angles (deg): 90.00 90.00 90.00
Space group Pm-3m (No. 221)
Symmetry-distinct sites (fractional):
Li 0.000 0.000 0.000
Ca 0.500 0.500 0.500
In 0.000 0.000 0.500

***

# 6
This record from Alexandria via LeMat-Bulk describes a PBEsol-optimized structure of Sc4TlZn. The functional is meta-GGA SCAN.

Calculated values
Formation enthalpy at 0 K ... 156 kJ/mol of formula units

a b c (Å): 8.089 8.089 8.089
angles (deg): 90.00 90.00 90.00
Space group F-43m (No. 216)
Symmetry-distinct sites (fractional):
Sc 0.125 0.125 0.125
Tl 0.250 0.250 0.750
Zn 0.000 0.000 0.500

***

# 7
This record from Alexandria via LeMat-Bulk describes a PBEsol-optimized structure of MgCuPb2. The functional is meta-GGA SCAN.

Calculated values
Formation enthalpy at 0 K ... 63 kJ/mol of formula units

a b c (Å): 3.554 5.463 9.570
angles (deg): 90.00 90.00 90.00
Space group Immm (No. 71)
Symmetry-distinct sites (fractional):
Mg 0.000 0.000 0.000
Cu 0.000 0.000 0.500
Pb 0.000 0.500 0.219

***

# 8
This record from Alexandria via LeMat-Bulk describes a PBEsol-optimized structure of Tc3OsPd. The functional is meta-GGA SCAN.

Calculated values
Formation enthalpy at 0 K ... 862 kJ/mol of formula units

a b c (Å): 4.581 4.581 4.581
angles (deg): 90.00 90.00 90.00
Space group Pm-3m (No. 221)
Symmetry-distinct sites (fractional):
Tc 0.000 0.000 0.500
Os 0.000 0.000 0.000
Pd 0.500 0.500 0.500

***

# 9
This record from Alexandria via LeMat-Bulk describes a PBEsol-optimized structure of LaHf3As. The functional is meta-GGA SCAN.

Calculated values
Formation enthalpy at 0 K ... 801 kJ/mol of formula units

a b c (Å): 5.058 5.058 5.058
angles (deg): 90.00 90.00 90.00
Space group Pm-3m (No. 221)
Symmetry-distinct sites (fractional):
La 0.000 0.000 0.000
Hf 0.000 0.000 0.500
As 0.500 0.500 0.500

***

# 10
This record from Alexandria via LeMat-Bulk describes a PBEsol-optimized structure of Ba6ZnCo5Si6O24. The functional is meta-GGA SCAN.

Calculated values
Energy relative to the elements, uncorrected ... -2.665 eV/atom

a b c (Å): 8.629 9.065 9.080
angles (deg): 119.77 90.12 90.08
Space group P1 (No. 1)
Symmetry-distinct sites (fractional):
Ba 0.000 0.000 0.000
Ba 0.003 0.669 0.338
Ba 0.461 0.327 0.664
Ba 0.501 0.664 0.332
Ba 0.505 0.004 0.001
Ba 0.961 0.332 0.667
Zn 0.188 0.660 0.981
Co 0.185 0.319 0.338
Co 0.186 0.015 0.676
Co 0.684 0.003 0.350
Co 0.685 0.643 0.652
Co 0.688 0.344 0.993
Si 0.287 0.342 0.006
Si 0.287 0.990 0.336
Si 0.291 0.659 0.651
Si 0.786 0.000 0.677
Si 0.788 0.673 0.995
Si 0.790 0.317 0.324
O 0.186 0.485 0.576
O 0.188 0.093 0.513
O 0.197 0.417 0.897
O 0.226 0.426 0.203
O 0.232 0.791 0.222
O 0.242 0.778 0.569
O 0.268 0.134 0.905
O 0.272 0.091 0.229
O 0.279 0.764 0.859
O 0.467 0.988 0.395
O 0.469 0.396 0.014
O 0.469 0.593 0.587
O 0.685 0.241 0.423
O 0.689 0.178 0.754
O 0.689 0.567 0.817
O 0.730 0.871 0.110
O 0.733 0.883 0.761
O 0.742 0.235 0.123
O 0.767 0.893 0.469
O 0.774 0.525 0.426
O 0.774 0.571 0.103
O 0.968 0.055 0.732
O 0.968 0.256 0.327
O 0.968 0.679 0.940

***

# 11
This record from Alexandria via LeMat-Bulk describes a PBEsol-optimized structure of YRe2. The functional is meta-GGA SCAN.

Calculated values
Formation enthalpy at 0 K ... 36 kJ/mol of formula units

a b c (Å): 4.1568 4.1568 4.3405
angles (deg): 90.00 90.00 120.00
Space group P6/mmm (No. 191)
Symmetry-distinct sites (fractional):
Y 0.0000 0.0000 0.0000
Re 0.3333 0.6667 0.5000

***

# 12
This record from Alexandria via LeMat-Bulk describes a PBEsol-optimized structure of CaAl2Cr2. The functional is meta-GGA SCAN.

Calculated values
Formation enthalpy at 0 K ... 174 kJ/mol of formula units

a b c (Å): 4.277 4.277 9.783
angles (deg): 90.00 90.00 90.00
Space group I4/mmm (No. 139)
Symmetry-distinct sites (fractional):
Ca 0.000 0.000 0.000
Al 0.000 0.500 0.250
Cr 0.000 0.000 0.407

***

Number 1: total magnetic moment 0.00 μB/f.u., total energy -18.555 eV/atom. Number 2: total magnetic moment 0.00 μB/f.u., total energy -27.462 eV/atom. Number 3: total magnetic moment 0.00 μB/f.u., total energy -53.876 eV/atom. Number 4: total magnetic moment 0.00 μB/f.u., total energy -60.509 eV/atom. Number 5: total magnetic moment 0.00 μB/f.u., total energy -22.653 eV/atom. Number 6: total magnetic moment 0.00 μB/f.u., total energy -23.535 eV/atom. Number 7: total magnetic moment 0.00 μB/f.u., total energy -42.771 eV/atom. Number 8: total magnetic moment 2.69 μB/f.u., total energy -40.181 eV/atom. Number 9: total magnetic moment 0.00 μB/f.u., total energy -48.602 eV/atom. Number 10: total magnetic moment 15.00 μB/f.u., total energy -15.689 eV/atom. Number 11: total magnetic moment 0.00 μB/f.u., total energy -56.556 eV/atom. Number 12: total magnetic moment 0.00 μB/f.u., total energy -12.026 eV/atom.